Computed, not measured: GaAg2GeTe4 after structural relaxation at the PBE level of DFT.

## Properties
DOS(E_F), states/eV per cell: 9.18
Volume, Å³/f.u.: 261.7
Raw formation energy, eV/f.u.: -1.10

abc: 6.447 6.447 12.591
angles: 90.00 90.00 90.00
Sites, in units of the cell vectors:
Ga  0.000  0.000  0.000
Ga  0.500  0.500  0.500
Ag  0.000  0.000  0.500
Ag  0.000  0.500  0.750
Ag  0.500  0.000  0.250
Ag  0.500  0.500  0.000
Ge  0.000  0.500  0.250
Ge  0.500  0.000  0.750
Te  0.241  0.241  0.878
Te  0.241  0.759  0.122
Te  0.259  0.259  0.378
Te  0.259  0.741  0.622
Te  0.741  0.259  0.622
Te  0.741  0.741  0.378
Te  0.759  0.241  0.122
Te  0.759  0.759  0.878